1.
DFT (PBE) results for a relaxed LaZrP2Pb crystal.

```
data_LaZrP2Pb
_cell_length_a 5.6597
_cell_length_b 5.6597
_cell_length_c 5.8996
_cell_angle_alpha 90.00
_cell_angle_beta 90.00
_cell_angle_gamma 90.00
_space_group_name_H-M_alt 'P 4/m m m'
_space_group_IT_number 123
_space_group_name_Hall '-P 4 2'
loop_
_atom_site_label
_atom_site_fract_x
_atom_site_fract_y
_atom_site_fract_z
La1 0.0000 0.0000 0.0000
Zr1 0.0000 0.0000 0.5000
P1 0.0000 0.5000 0.0000
Pb1 0.5000 0.5000 0.5000
```

- D(E_F): 6.652 states/eV/f.u.
- Calculated formation energy: 1041 meV/atom

---

2.
DFT (PBE) results for a relaxed La2P2Pd5 crystal.

```
data_La2P2Pd5
_cell_length_a 4.2637
_cell_length_b 4.2637
_cell_length_c 9.1145
_cell_angle_alpha 90.00
_cell_angle_beta 90.00
_cell_angle_gamma 90.00
_space_group_name_H-M_alt 'P 4/m m m'
_space_group_IT_number 123
_space_group_name_Hall '-P 4 2'
loop_
_atom_site_label
_atom_site_fract_x
_atom_site_fract_y
_atom_site_fract_z
La1 0.0000 0.0000 0.0000
La2 0.0000 0.0000 0.5000
P1 0.5000 0.5000 0.1303
Pd1 0.0000 0.5000 0.2634
Pd2 0.5000 0.5000 0.5000
```

- D(E_F): 2.000 states/eV/f.u.
- Calculated formation energy: -918 meV/atom

---

3.
DFT (PBE) results for a relaxed LaP2Pd3 crystal.

```
data_LaP2Pd3
_cell_length_a 16.4370
_cell_length_b 4.0636
_cell_length_c 9.9464
_cell_angle_alpha 90.00
_cell_angle_beta 108.51
_cell_angle_gamma 90.00
_space_group_name_H-M_alt 'C 1 2/m 1'
_space_group_IT_number 12
loop_
_space_group_symop_operation_xyz
'x,y,z'
'-x,-y,-z'
'-x,y,-z'
'x,-y,z'
'x+1/2,y+1/2,z'
'-x+1/2,-y+1/2,-z'
'-x+1/2,y+1/2,-z'
'x+1/2,-y+1/2,z'
loop_
_atom_site_label
_atom_site_fract_x
_atom_site_fract_y
_atom_site_fract_z
La1 0.0000 0.0000 0.0000
La2 0.1527 0.0000 0.7013
P1 0.0346 0.5000 0.7831
P2 0.1336 0.5000 0.4493
P3 0.2015 0.0000 0.1294
Pd1 0.0000 0.5000 0.5000
Pd2 0.0474 0.0000 0.3354
Pd3 0.1319 0.5000 0.2098
Pd4 0.1770 0.5000 0.9664
Pd5 0.2274 0.0000 0.3933
```

- D(E_F): 2.809 states/eV/f.u.
- Calculated formation energy: -925 meV/atom

---

4.
DFT (PBE) results for a relaxed LaP2Pd6 crystal.

```
data_LaP2Pd6
_cell_length_a 5.7820
_cell_length_b 5.7820
_cell_length_c 6.0787
_cell_angle_alpha 90.00
_cell_angle_beta 90.00
_cell_angle_gamma 120.00
_space_group_name_H-M_alt 'P 6/m m m'
_space_group_IT_number 191
_space_group_name_Hall '-P 6 2'
loop_
_atom_site_label
_atom_site_fract_x
_atom_site_fract_y
_atom_site_fract_z
La1 0.0000 0.0000 0.0000
P1 0.3333 0.6667 0.5000
Pd1 0.0000 0.5000 0.2318
```

- D(E_F): 2.600 states/eV/f.u.
- Calculated formation energy: -553 meV/atom

---

5.
DFT (PBE) results for a relaxed LaP2Pd4 crystal.

```
data_LaP2Pd4
_cell_length_a 7.8112
_cell_length_b 7.8112
_cell_length_c 3.8859
_cell_angle_alpha 90.00
_cell_angle_beta 90.00
_cell_angle_gamma 90.00
_space_group_name_H-M_alt 'P 42/m n m'
_space_group_IT_number 136
_space_group_name_Hall '-P 4n 2n'
loop_
_atom_site_label
_atom_site_fract_x
_atom_site_fract_y
_atom_site_fract_z
La1 0.0000 0.0000 0.0000
P1 0.2207 0.2207 0.5000
Pd1 0.0894 0.6639 0.5000
```

- D(E_F): 5.111 states/eV/f.u.
- Calculated formation energy: -837 meV/atom

---

6.
DFT (PBE) results for a relaxed La3P5Pd6 crystal.

```
data_La3P5Pd6
_cell_length_a 4.0800
_cell_length_b 12.6065
_cell_length_c 10.0970
_cell_angle_alpha 90.00
_cell_angle_beta 90.00
_cell_angle_gamma 90.00
_space_group_name_H-M_alt 'P m m n'
_space_group_IT_number 59
loop_
_space_group_symop_operation_xyz
'x,y,z'
'-x,-y,-z'
'-x+1/2,-y+1/2,z'
'x+1/2,y+1/2,-z'
'x+1/2,-y,-z'
'-x+1/2,y,z'
'-x,y+1/2,-z'
'x,-y+1/2,z'
loop_
_atom_site_label
_atom_site_fract_x
_atom_site_fract_y
_atom_site_fract_z
La1 0.2500 0.0912 0.2505
La2 0.2500 0.7500 0.2418
P1 0.2500 0.0809 0.6482
P2 0.2500 0.6241 0.9812
P3 0.2500 0.7500 0.6248
Pd1 0.2500 0.0601 0.8900
Pd2 0.2500 0.2500 0.0187
Pd3 0.2500 0.2500 0.5110
Pd4 0.2500 0.5801 0.4918
```

- D(E_F): 9.326 states/eV/f.u.
- Calculated formation energy: -982 meV/atom

---

7.
DFT (PBE) results for a relaxed LaPPd4 crystal.

```
data_LaPPd4
_cell_length_a 4.0534
_cell_length_b 15.4212
_cell_length_c 6.8385
_cell_angle_alpha 90.00
_cell_angle_beta 90.00
_cell_angle_gamma 90.00
_space_group_name_H-M_alt 'C m c m'
_space_group_IT_number 63
_space_group_name_Hall '-C 2c 2'
loop_
_atom_site_label
_atom_site_fract_x
_atom_site_fract_y
_atom_site_fract_z
La1 0.0000 0.1049 0.2500
P1 0.0000 0.2389 0.7500
Pd1 0.0000 0.0853 0.7500
Pd2 0.0000 0.3118 0.0501
Pd3 0.0000 0.5000 0.0000
```

- D(E_F): 2.916 states/eV/f.u.
- Calculated formation energy: -735 meV/atom

---

8.
DFT (PBE) results for a relaxed LaP2Pd5 crystal.

```
data_LaP2Pd5
_cell_length_a 4.1565
_cell_length_b 7.0242
_cell_length_c 9.4152
_cell_angle_alpha 90.00
_cell_angle_beta 90.00
_cell_angle_gamma 90.00
_space_group_name_H-M_alt 'I m m m'
_space_group_IT_number 71
_space_group_name_Hall '-I 2 2'
loop_
_atom_site_label
_atom_site_fract_x
_atom_site_fract_y
_atom_site_fract_z
La1 0.0000 0.0000 0.0000
P1 0.0000 0.5000 0.2474
Pd1 0.0000 0.1969 0.3448
Pd2 0.0000 0.5000 0.0000
```

- D(E_F): 4.584 states/eV/f.u.
- Calculated formation energy: -771 meV/atom

---

9.
DFT (PBE) results for a relaxed LaP2Pd8 crystal.

```
data_LaP2Pd8
_cell_length_a 5.5137
_cell_length_b 5.5137
_cell_length_c 7.3580
_cell_angle_alpha 90.00
_cell_angle_beta 90.00
_cell_angle_gamma 90.00
_space_group_name_H-M_alt 'P 4/m m m'
_space_group_IT_number 123
_space_group_name_Hall '-P 4 2'
loop_
_atom_site_label
_atom_site_fract_x
_atom_site_fract_y
_atom_site_fract_z
La1 0.0000 0.0000 0.0000
P1 0.0000 0.5000 0.5000
Pd1 0.2526 0.2526 0.3057
```

- D(E_F): 2.707 states/eV/f.u.
- Calculated formation energy: -320 meV/atom

---

10.
DFT (PBE) results for a relaxed LaP2Pd2 crystal.

```
data_LaP2Pd2
_cell_length_a 4.5000
_cell_length_b 4.5000
_cell_length_c 9.2981
_cell_angle_alpha 90.00
_cell_angle_beta 90.00
_cell_angle_gamma 90.00
_space_group_name_H-M_alt 'I 4/m m m'
_space_group_IT_number 139
_space_group_name_Hall '-I 4 2'
loop_
_atom_site_label
_atom_site_fract_x
_atom_site_fract_y
_atom_site_fract_z
La1 0.0000 0.0000 0.0000
P1 0.0000 0.5000 0.2500
Pd1 0.0000 0.0000 0.3505
```

- D(E_F): 2.271 states/eV/f.u.
- Calculated formation energy: -868 meV/atom

---

11.
DFT (PBE) results for a relaxed LaP3Pd5 crystal.

```
data_LaP3Pd5
_cell_length_a 3.8738
_cell_length_b 12.7187
_cell_length_c 12.5447
_cell_angle_alpha 90.00
_cell_angle_beta 90.00
_cell_angle_gamma 90.00
_space_group_name_H-M_alt 'C m c m'
_space_group_IT_number 63
_space_group_name_Hall '-C 2c 2'
loop_
_atom_site_label
_atom_site_fract_x
_atom_site_fract_y
_atom_site_fract_z
La1 0.0000 0.1426 0.2500
P1 0.0000 0.1297 0.7500
P2 0.0000 0.3908 0.5485
Pd1 0.0000 0.0000 0.0000
Pd2 0.0000 0.2147 0.5800
Pd3 0.0000 0.4371 0.1445
```

- D(E_F): 5.456 states/eV/f.u.
- Calculated formation energy: -712 meV/atom

---

12.
DFT (PBE) results for a relaxed La2PPd crystal.

```
data_La2PPd
_cell_length_a 4.1930
_cell_length_b 4.1930
_cell_length_c 21.8138
_cell_angle_alpha 90.00
_cell_angle_beta 90.00
_cell_angle_gamma 120.00
_space_group_name_H-M_alt 'R -3 m'
_space_group_IT_number 166
_space_group_name_Hall '-R 3 2"'
loop_
_atom_site_label
_atom_site_fract_x
_atom_site_fract_y
_atom_site_fract_z
La1 0.0000 0.0000 0.2469
P1 0.0000 0.0000 0.5000
Pd1 0.0000 0.0000 0.0000
```

- D(E_F): 3.044 states/eV/f.u.
- Calculated formation energy: -1085 meV/atom

---

Q: Which value of calculated formation energy does entry 8 give?
A: -771 meV/atom

---

Q: D(E_F) of number 4 (LaP2Pd6)?
A: 2.600 states/eV/f.u.